# Mg2MnCuH

Mg2MnCuH after structural relaxation (PBE-GGA, Alexandria via LeMat-Bulk).

## Properties
- total DFT energy (no corrections) (eV per atom) = -3.90
- space group = P4/mmm

Unit cell a=4.3930 b=4.3930 c=3.4842 alpha=90.00 beta=90.00 gamma=90.00
Last column: nearest neighbours and their distance in Å.
Sites, in units of the cell vectors:
Cu: 0.5000 0.5000 0.5000  8 Mg 2.80, 4 Mn 3.11
Mg: 0.5000 0.0000 0.0000  2 H 2.20
Mg: 0.0000 0.5000 0.0000  2 H 2.20
Mn: 0.0000 0.0000 0.5000  2 H 1.74
H: 0.0000 0.0000 0.0000  2 Mn 1.74